Material: LaTlS3
Method: DFT, PBE
State: relaxed

Output
The uncorrected formation energy is -2.759 eV per formula unit. For the total energy, the calculation gives -0.3298 Ry per atom.

Geometry as CIF:
```
data_LaTlS3
_chemical_formula_sum 'La1 Tl1 S3'
_space_group_name_H-M_alt 'P 1'
_space_group_IT_number 1
_space_group_name_Hall 'P 1'
_cell_length_a 5.059
_cell_length_b 5.059
_cell_length_c 5.059
_cell_angle_alpha 90.00
_cell_angle_beta 90.00
_cell_angle_gamma 90.00
loop_
_atom_site_label
_atom_site_fract_x
_atom_site_fract_y
_atom_site_fract_z
S1 0.000 0.500 0.000
S2 0.000 0.000 0.500
Tl1 0.000 0.000 0.000
S3 0.500 0.000 0.000
La1 0.500 0.500 0.500
```

Material: GaRe2PtPb
Method: DFT, PBE
State: relaxed

Output
The value obtained for the formation energy is 1.87 eV/atom. For the total energy, the calculation gives -0.4160 Ry per atom.

Geometry as CIF:
```
data_GaRe2PtPb
_chemical_formula_sum 'Ga1 Re2 Pt1 Pb1'
_space_group_name_H-M_alt 'P 1'
_space_group_IT_number 1
_space_group_name_Hall 'P 1'
_cell_length_a 4.834
_cell_length_b 5.540
_cell_length_c 4.834
_cell_angle_alpha 90.00
_cell_angle_beta 90.00
_cell_angle_gamma 90.00
loop_
_atom_site_label
_atom_site_fract_x
_atom_site_fract_y
_atom_site_fract_z
Re1 0.000 0.000 0.500
Re2 0.500 0.000 0.000
Ga1 0.500 0.500 0.500
Pb1 0.000 0.500 0.000
Pt1 0.000 0.000 0.000
```

Material: AlF
Method: DFT, PBE
State: relaxed

Output
The uncorrected formation energy is -2.609 eV per formula unit. For the total energy, the calculation gives -0.3022 Ry per atom.

Geometry as CIF:
```
data_AlF
_chemical_formula_sum 'Al4 F4'
_space_group_name_H-M_alt 'P 1'
_space_group_IT_number 1
_space_group_name_Hall 'P 1'
_cell_length_a 6.641
_cell_length_b 6.641
_cell_length_c 3.774
_cell_angle_alpha 90.00
_cell_angle_beta 90.00
_cell_angle_gamma 90.00
loop_
_atom_site_label
_atom_site_fract_x
_atom_site_fract_y
_atom_site_fract_z
F1 0.683 0.317 0.000
Al1 0.358 0.642 0.500
F2 0.317 0.683 0.000
F3 0.817 0.817 0.500
Al2 0.642 0.358 0.500
Al3 0.858 0.858 0.000
F4 0.183 0.183 0.500
Al4 0.142 0.142 0.000
```